1.
Here is a relaxed structure of ZnCuRu2 from the Alexandria database. Energies are from PBE-GGA.

Geometry as extended XYZ:
```
4
Lattice="2.668 0.000 0.000 0.000 2.668 0.000 0.000 0.000 7.698" Properties=species:S:1:pos:R:3 pbc="T T T"
Zn 0.000 0.000 0.000
Cu 0.000 0.000 3.849
Ru 1.334 1.334 1.967
Ru 1.334 1.334 5.731
```

Values from the calculation:
Symmetry: No. 123
DFT total energy: -5.68 eV per atom
Magnetic moment: 1.75 μB/f.u.


2.
Here is a relaxed structure of TiNiGe2 from the Alexandria database. Energies are from PBE-GGA.

Geometry as extended XYZ:
```
16
Lattice="6.184 0.000 0.000 0.000 6.184 0.000 0.000 0.000 6.184" Properties=species:S:1:pos:R:3 pbc="T T T"
Ti 0.000 0.000 0.000
Ti 0.000 3.092 3.092
Ti 3.092 0.000 3.092
Ti 3.092 3.092 0.000
Ni 0.000 0.000 3.092
Ni 0.000 3.092 0.000
Ni 3.092 0.000 0.000
Ni 3.092 3.092 3.092
Ge 1.546 1.546 1.546
Ge 1.546 1.546 4.638
Ge 1.546 4.638 1.546
Ge 1.546 4.638 4.638
Ge 4.638 1.546 1.546
Ge 4.638 1.546 4.638
Ge 4.638 4.638 1.546
Ge 4.638 4.638 4.638
```

Values from the calculation:
Symmetry: No. 225
DFT total energy: -5.86 eV per atom
Magnetic moment: 0.95 μB/f.u.


3.
Here is a relaxed structure of Sr3TmC2N6 from the Alexandria database. Energies are from PBE-GGA.

Geometry as extended XYZ:
```
12
Lattice="5.572 0.000 0.000 -2.786 4.825 0.000 0.000 0.000 6.629" Properties=species:S:1:pos:R:3 pbc="T T T"
Sr 0.000 0.000 0.000
Sr 0.000 3.217 4.509
Sr 2.786 1.608 2.120
Tm 0.000 0.000 3.314
C 0.000 3.217 1.831
C 2.786 1.608 4.797
N 0.000 1.848 1.892
N -1.186 3.901 1.892
N 1.600 0.924 4.737
N 1.186 3.901 1.892
N 3.971 0.924 4.737
N 2.786 2.977 4.737
```

Values from the calculation:
Symmetry: No. 164
DFT total energy: -7.26 eV per atom
Magnetic moment: 0.00 μB/f.u.


4.
Here is a relaxed structure of Rb2CeNd2O6 from the Alexandria database. Energies are from PBE-GGA.

Geometry as extended XYZ:
```
11
Lattice="3.144 -5.431 0.000 3.144 5.431 0.000 -2.045 0.000 6.692" Properties=species:S:1:pos:R:3 pbc="T T T"
Rb 3.144 3.618 0.000
Rb 3.144 -3.618 0.000
Ce -1.023 0.000 3.346
Nd 2.121 1.799 3.346
Nd 2.121 -1.799 3.346
O -0.036 1.783 4.463
O 0.928 0.000 2.232
O -0.036 -1.783 4.463
O 4.279 1.783 2.229
O 3.314 0.000 4.460
O 4.279 -1.783 2.229
```

Values from the calculation:
Symmetry: No. 12
DFT total energy: -7.08 eV per atom
Magnetic moment: 0.00 μB/f.u.


5.
Here is a relaxed structure of CsBi3Ir from the Alexandria database. Energies are from PBE-GGA.

Geometry as extended XYZ:
```
5
Lattice="5.593 0.000 0.000 0.000 5.593 0.000 0.000 0.000 5.593" Properties=species:S:1:pos:R:3 pbc="T T T"
Cs 0.000 0.000 0.000
Bi 0.000 2.796 2.796
Bi 2.796 0.000 2.796
Bi 2.796 2.796 0.000
Ir 2.796 2.796 2.796
```

Values from the calculation:
Symmetry: No. 221
E above lowest polymorph: 0 meV/atom
Magnetic moment: 0.00 μB/f.u.


6.
Here is a relaxed structure of CaIn4SnSe8 from the Alexandria database. Energies are from PBE-GGA.

Geometry as extended XYZ:
```
14
Lattice="4.172 2.409 6.849 -4.172 2.409 6.849 0.000 -4.817 6.849" Properties=species:S:1:pos:R:3 pbc="T T T"
Ca 0.000 0.000 0.000
In -2.124 -1.227 9.401
In 0.000 0.000 5.008
In 2.124 -1.227 9.401
In 0.000 2.453 9.401
Sn 0.000 0.000 12.947
Se 0.000 -2.266 10.992
Se -1.963 1.133 10.992
Se 0.000 0.000 7.861
Se -1.934 -1.116 14.743
Se 1.963 1.133 10.992
Se 0.000 0.000 17.736
Se 1.934 -1.116 14.743
Se 0.000 2.233 14.743
```

Values from the calculation:
Symmetry: No. 160
DFT total energy: -3.84 eV per atom
Magnetic moment: 0.00 μB/f.u.


7.
Here is a relaxed structure of BaAc3Tl2 from the Alexandria database. Energies are from PBE-GGA.

Geometry as extended XYZ:
```
12
Lattice="5.407 0.000 0.000 0.000 10.273 0.000 0.000 0.000 8.865" Properties=species:S:1:pos:R:3 pbc="T T T"
Ba 0.000 0.806 0.000
Ba 0.000 9.467 4.432
Ac 0.000 3.379 5.440
Ac 0.000 6.894 1.008
Ac 2.704 1.844 2.953
Ac 2.704 4.356 8.397
Ac 2.704 5.916 3.964
Ac 2.704 8.429 7.385
Tl 0.000 3.761 2.028
Tl 0.000 6.511 6.460
Tl 2.704 1.436 6.396
Tl 2.704 8.837 1.964
```

Values from the calculation:
Symmetry: No. 26
E above lowest polymorph: 0 meV/atom
Magnetic moment: 0.50 μB/f.u.


8.
Here is a relaxed structure of Sr2Hg4Bi from the Alexandria database. Energies are from PBE-GGA.

Geometry as extended XYZ:
```
14
Lattice="9.406 0.000 0.000 0.000 5.452 0.000 -3.185 0.000 8.366" Properties=species:S:1:pos:R:3 pbc="T T T"
Sr 1.569 0.000 1.505
Sr -0.051 2.726 6.861
Sr 6.272 2.726 1.505
Sr 4.652 0.000 6.861
Hg -1.611 0.000 5.704
Hg -0.005 2.726 3.428
Hg 1.523 0.000 4.938
Hg 3.129 2.726 2.662
Hg 3.092 2.726 5.704
Hg 4.697 0.000 3.428
Hg 6.226 2.726 4.938
Hg 7.832 0.000 2.662
Bi 0.000 2.726 0.000
Bi 4.703 0.000 0.000
```

Values from the calculation:
Symmetry: No. 12
DFT total energy: -1.70 eV per atom
Magnetic moment: 0.00 μB/f.u.